First-principles (GGA-PBE) data for a relaxed Pm6Y2HoEr crystal, as listed in Alexandria via LeMat-Bulk.

**D(E_F)**: 1.439 states/eV per atom
**M_tot**: 0.000 μB/cell
**Calculated formation energy**: 0.12 eV/atom

abc: 8.938 8.938 9.558
angles: 93.48 93.48 117.43
Fractional coordinates of all 20 atoms:
Pm 0.011 0.564 0.188
Pm 0.118 0.763 0.556
Pm 0.237 0.882 0.944
Pm 0.292 0.514 0.383
Pm 0.436 0.989 0.312
Pm 0.486 0.708 0.117
Pm 0.514 0.292 0.883
Pm 0.564 0.011 0.688
Pm 0.708 0.486 0.617
Pm 0.763 0.118 0.056
Pm 0.882 0.237 0.444
Pm 0.989 0.436 0.812
Y 0.201 0.298 0.047
Y 0.298 0.201 0.547
Y 0.702 0.799 0.453
Y 0.799 0.702 0.953
Ho 0.411 0.589 0.750
Ho 0.589 0.411 0.250
Er 0.030 0.970 0.250
Er 0.970 0.030 0.750

---

First-principles (GGA-PBE) data for a relaxed Ac2Pd2Au3 crystal, as listed in Alexandria via LeMat-Bulk.

**D(E_F)**: 0.523 states/eV per atom
**M_tot**: 0.000 μB/cell
**Calculated formation energy**: -0.73 eV/atom

abc: 10.673 10.673 7.536
angles: 90.00 90.00 156.19
Fractional coordinates of all 14 atoms:
Ac 0.069 0.931 0.750
Ac 0.168 0.832 0.250
Ac 0.832 0.168 0.750
Ac 0.931 0.069 0.250
Pd 0.314 0.686 0.052
Pd 0.314 0.686 0.448
Pd 0.686 0.314 0.552
Pd 0.686 0.314 0.948
Au 0.223 0.777 0.750
Au 0.439 0.561 0.565
Au 0.439 0.561 0.935
Au 0.561 0.439 0.065
Au 0.561 0.439 0.435
Au 0.777 0.223 0.250